UMnRuO6 (PBE+U, optimized geometry); density = 7.19 g/cm³; energy = -8.458 eV/atom; SG = P-31c; D(E_F) = 8.5 states/eV per cell
1.0
-2.069 0.367 -4.858
1.800 -4.654 1.765
-8.448 -1.960 3.450
U O Ru Mn
2 12 2 2
direct
0.333 0.667 0.750
0.667 0.333 0.250
0.664 0.652 0.632
0.664 0.013 0.868
0.987 0.652 0.868
0.652 0.987 0.368
0.013 0.348 0.132
0.336 0.987 0.132
0.652 0.664 0.132
0.336 0.348 0.368
0.013 0.664 0.368
0.987 0.336 0.632
0.348 0.013 0.632
0.348 0.336 0.868
0.667 0.333 0.750
0.333 0.667 0.250
0.000 0.000 0.500
0.000 0.000 0.000